Crystalline SrMoPdO6 at its relaxed geometry. Source: Alexandria via LeMat-Bulk, functional PBE+U.

abc: 5.2952 5.2956 5.3830
angles: 90.01 90.01 60.00
Closest atoms and distances in Å follow each position.
Atoms (fractional coordinates):
Sr (0.0000, 0.0000, 0.0000)  6 O 2.56
Mo (0.6666, 0.6667, 0.5000)  6 O 1.95
Pd (0.3333, 0.3333, 0.5000)  6 O 2.03
O (0.9887, 0.3828, 0.2964)  1 Mo 1.95, 1 Pd 2.03
O (0.3829, 0.9888, 0.7037)  1 Mo 1.95, 1 Pd 2.03
O (0.6284, 0.3828, 0.7036)  1 Mo 1.95, 1 Pd 2.03
O (0.9889, 0.6284, 0.7035)  1 Mo 1.95, 1 Pd 2.03
O (0.3827, 0.6284, 0.2964)  1 Mo 1.95, 1 Pd 2.03
O (0.6282, 0.9888, 0.2963)  1 Mo 1.95, 1 Pd 2.03

Computed properties:
**Space-group type**: No. 149
**Mass density**: 4.9 g cm⁻³
**V**: 14.5 Å³ per atom
**Calculated total energy**: -57.62 eV per cell
**Crystal system**: trigonal